Entry from the Alexandria database: crystalline LiCo2NiN at its relaxed geometry (GGA-PBE). Values from VASP.

Structure (Quantum ESPRESSO input):
```
&SYSTEM
  ibrav = 0, nat = 5, ntyp = 4
/
ATOMIC_SPECIES
Co 58.93 Co.upf
Li 6.94 Li.upf
N 14.01 N.upf
Ni 58.69 Ni.upf
ATOMIC_POSITIONS crystal
Co 0.5000 0.0000 0.0000
Li 0.5000 0.5000 0.5000
N 0.0000 0.0000 0.0000
Co 0.0000 0.5000 0.0000
Ni 0.0000 0.0000 0.5000
CELL_PARAMETERS angstrom
-3.6838 -0.4910 -0.1936
0.0142 -1.4564 3.4246
-0.5351 3.4376 1.4642
```

Results
* density: 6.3 g/cm3
* energy relative to the lowest polymorph listed for this composition: 0.000 eV per atom
* magnetization: 2.717 μB/cell
* V: 10.45 Å³/atom
* formation energy (no corrections): -0.072 eV/atom